A relaxed Ac6Pd5Pt crystal. Source: Alexandria, functional PBE.

Values from the calculation:
Total moment, μB/cell: 0.0
Symmetry: C2/m, No. 12
V, Å³/f.u.: 364.9
Total energy, eV/atom: -5.572
ΔE_f, eV per atom: -0.8507

Cell and atoms, written as POSCAR:
```
Ac6Pd5Pt
1.0
3.825 -6.620 0.000
3.825 6.620 0.000
-2.547 0.000 7.205
Ac Pd Pt
6 5 1
Direct
0.083 0.413 0.748
0.247 0.247 0.252
0.413 0.083 0.748
0.587 0.917 0.252
0.753 0.753 0.748
0.917 0.587 0.252
0.168 0.832 0.000
0.334 0.666 0.500
0.500 0.500 0.000
0.666 0.334 0.500
0.832 0.168 0.000
0.000 0.000 0.500
```